Here is an optimized crystal structure of Ba2MoAsO from Alexandria via LeMat-Bulk. Energies are from PBE+U.

Geometry as CIF:
```
data_Ba2MoAsO
_cell_length_a 5.602
_cell_length_b 5.602
_cell_length_c 4.474
_cell_angle_alpha 90.00
_cell_angle_beta 90.00
_cell_angle_gamma 90.00
_space_group_name_H-M_alt 'P 4/m m m'
_space_group_IT_number 123
_space_group_name_Hall '-P 4 2'
loop_
_atom_site_label
_atom_site_type_symbol
_atom_site_fract_x
_atom_site_fract_y
_atom_site_fract_z
Ba1 Ba 0.000 0.500 0.000
Mo1 Mo 0.000 0.000 0.500
As1 As 0.500 0.500 0.500
O1 O 0.500 0.500 0.000
```

## Properties
For the total magnetization, the calculation gives 5.0 μB/f.u. The calculation puts the total energy at -22.853 eV per cell.